MgTl2AgBr6: optimized geometry, GGA-PBE.

The structure in POSCAR format:
```
MgTl2AgBr6
1.0
0.000 5.387 5.387
5.387 0.000 5.387
5.387 5.387 0.000
Ag Tl Mg Br
1 2 1 6
direct
0.500 0.500 0.500
0.250 0.250 0.250
0.750 0.750 0.750
0.000 0.000 0.000
0.247 0.753 0.753
0.247 0.753 0.247
0.753 0.247 0.753
0.753 0.247 0.247
0.247 0.247 0.753
0.753 0.753 0.247
```

Calculated values
Crystal system: cubic
Total DFT energy (no corrections), eV per atom: -2.679